# 1
The following is a GGA-PBEsol calculation of a relaxed TmAsPt crystal, from Alexandria via LeMat-Bulk.

Unit cell a=4.2289 b=4.2289 c=7.4352 alpha=90.00 beta=90.00 gamma=120.00
With the nearest neighbours (Å) after each atom.
Atoms (fractional coordinates):
Tm 0.0000 0.0000 0.0000  6 As 3.07, 6 Pt 3.07
Tm 0.0000 0.0000 0.5000  6 As 3.07, 6 Pt 3.07
As 0.3333 0.6667 0.2500  3 Pt 2.44
As 0.6667 0.3333 0.7500  3 Pt 2.44
Pt 0.3333 0.6667 0.7500  3 As 2.44
Pt 0.6667 0.3333 0.2500  3 As 2.44

Summary:
**V**: 115.2 Å³ per cell
**Density of states at the Fermi level**: 0.25 states/eV per atom
**Formation enthalpy at 0 K**: -3.6 eV/f.u.
**Calculated total energy**: -6.84 eV per atom
**Symmetry**: P6_3/mmc, No. 194

# 2
The following is a GGA-PBEsol calculation of a relaxed Nb3HF crystal, from Alexandria via LeMat-Bulk.

Unit cell a=4.2029 b=4.2029 c=4.2029 alpha=90.00 beta=90.00 gamma=90.00
With the nearest neighbours (Å) after each atom.
Atoms (fractional coordinates):
Nb 0.0000 0.0000 0.5000  2 F 2.10
Nb 0.0000 0.5000 0.0000  2 F 2.10
Nb 0.5000 0.0000 0.0000  2 F 2.10
H 0.5000 0.5000 0.5000  12 Nb 2.97
F 0.0000 0.0000 0.0000  6 Nb 2.10

Summary:
**V**: 74.2 Å³ per cell
**Density of states at the Fermi level**: 0.93 states/eV per atom
**Calculated total energy**: -6.79 eV per atom
**Symmetry**: Pm-3m, No. 221

# 3
The following is a GGA-PBEsol calculation of a relaxed Na3Mg4Mo6O24 crystal, from Alexandria via LeMat-Bulk.

Unit cell a=6.9779 b=8.6751 c=10.3482 alpha=107.36 beta=105.11 gamma=105.09
With the nearest neighbours (Å) after each atom.
Atoms (fractional coordinates):
Na 0.0000 0.0000 0.0000  4 O 2.35-2.38
Na 0.2983 0.8041 0.3040  5 O 2.23-2.39
Na 0.7017 0.1959 0.6960  5 O 2.23-2.39
Mg 0.0381 0.6944 0.5151  6 O 2.04-2.12
Mg 0.3743 0.4595 0.1015  6 O 2.01-2.13
Mg 0.6258 0.5405 0.8985  6 O 2.01-2.13
Mg 0.9619 0.3056 0.4849  6 O 2.04-2.12
Mo 0.1193 0.5975 0.8358  4 O 1.71-1.82
Mo 0.2002 0.1614 0.7606  4 O 1.74-1.79
Mo 0.4007 0.2509 0.3693  4 O 1.75-1.78
Mo 0.5993 0.7491 0.6307  4 O 1.75-1.78
Mo 0.7998 0.8386 0.2394  4 O 1.74-1.79
Mo 0.8807 0.4025 0.1642  4 O 1.71-1.82
O 0.0189 0.2336 0.6598  1 Mo 1.79
O 0.0767 0.5596 0.6485  1 Mo 1.79
O 0.1210 0.5081 0.1486  1 Mo 1.76
O 0.1446 0.9413 0.6680  1 Mo 1.74
O 0.1830 0.8143 0.9271  1 Mo 1.71
O 0.2048 0.2103 0.9404  1 Mo 1.77
O 0.2331 0.0340 0.2609  1 Mo 1.75
O 0.2665 0.3401 0.4767  1 Mo 1.77
O 0.3304 0.5340 0.9224  1 Mo 1.82
O 0.3539 0.7457 0.5201  1 Mo 1.78
O 0.4328 0.3550 0.2499  1 Mo 1.76
O 0.4559 0.2754 0.7702  1 Mo 1.76
O 0.5441 0.7246 0.2298  1 Mo 1.76
O 0.5672 0.6450 0.7501  1 Mo 1.76
O 0.6461 0.2543 0.4799  1 Mo 1.78
O 0.6696 0.4660 0.0776  1 Mo 1.82
O 0.7335 0.6599 0.5233  1 Mo 1.77
O 0.7669 0.9660 0.7391  1 Mo 1.75
O 0.7952 0.7897 0.0596  1 Mo 1.77
O 0.8170 0.1857 0.0729  1 Mo 1.71
O 0.8554 0.0587 0.3320  1 Mo 1.74
O 0.8790 0.4919 0.8514  1 Mo 1.76
O 0.9233 0.4404 0.3515  1 Mo 1.79
O 0.9811 0.7664 0.3402  1 Mo 1.79

Summary:
**V**: 536.9 Å³ per cell
**Density of states at the Fermi level**: 0.67 states/eV per atom
**Calculated total energy**: -7.78 eV per atom
**Symmetry**: P-1, No. 2

# 4
The following is a GGA-PBEsol calculation of a relaxed NiC3Cl crystal, from Alexandria via LeMat-Bulk.

Unit cell a=3.5371 b=3.5371 c=3.5371 alpha=90.00 beta=90.00 gamma=90.00
With the nearest neighbours (Å) after each atom.
Atoms (fractional coordinates):
Ni 0.0000 0.0000 0.0000  12 C 2.50
C 0.0000 0.5000 0.5000  2 Cl 1.77
C 0.5000 0.0000 0.5000  2 Cl 1.77
C 0.5000 0.5000 0.0000  2 Cl 1.77
Cl 0.5000 0.5000 0.5000  6 C 1.77

Summary:
**ΔE to the lowest computed polymorph**: 741 meV per atom
**V**: 44.3 Å³ per cell
**Density of states at the Fermi level**: 0.19 states/eV per atom
**Calculated total energy**: -4.15 eV per atom
**Symmetry**: Pm-3m, No. 221

# 5
The following is a GGA-PBEsol calculation of a relaxed Y2ZnCr crystal, from Alexandria via LeMat-Bulk.

Unit cell a=7.0306 b=7.0306 c=7.0306 alpha=90.00 beta=90.00 gamma=90.00
With the nearest neighbours (Å) after each atom.
Atoms (fractional coordinates):
Y 0.2500 0.2500 0.2500  4 Cr 3.04, 4 Zn 3.04
Y 0.2500 0.2500 0.7500  4 Cr 3.04, 4 Zn 3.04
Y 0.2500 0.7500 0.2500  4 Cr 3.04, 4 Zn 3.04
Y 0.2500 0.7500 0.7500  4 Cr 3.04, 4 Zn 3.04
Y 0.7500 0.2500 0.2500  4 Cr 3.04, 4 Zn 3.04
Y 0.7500 0.2500 0.7500  4 Cr 3.04, 4 Zn 3.04
Y 0.7500 0.7500 0.2500  4 Cr 3.04, 4 Zn 3.04
Y 0.7500 0.7500 0.7500  4 Cr 3.04, 4 Zn 3.04
Zn 0.0000 0.0000 0.0000  8 Y 3.04
Zn 0.0000 0.5000 0.5000  8 Y 3.04
Zn 0.5000 0.0000 0.5000  8 Y 3.04
Zn 0.5000 0.5000 0.0000  8 Y 3.04
Cr 0.0000 0.0000 0.5000  8 Y 3.04
Cr 0.0000 0.5000 0.0000  8 Y 3.04
Cr 0.5000 0.0000 0.0000  8 Y 3.04
Cr 0.5000 0.5000 0.5000  8 Y 3.04

Summary:
**ΔE to the lowest computed polymorph**: 0 meV per atom
**V**: 347.5 Å³ per cell
**Density of states at the Fermi level**: 0.60 states/eV per atom
**Formation enthalpy at 0 K**: 0.3 eV/f.u.
**Calculated total energy**: -6.30 eV per atom
**Symmetry**: Fm-3m, No. 225

# 6
The following is a GGA-PBEsol calculation of a relaxed YCd crystal, from Alexandria via LeMat-Bulk.

Unit cell a=4.8058 b=4.8058 c=16.0459 alpha=90.00 beta=90.00 gamma=120.00
With the nearest neighbours (Å) after each atom.
Atoms (fractional coordinates):
Y 0.0000 0.0000 0.1003  6 Cd 3.07-3.36, 1 Y 3.22
Y 0.0000 0.0000 0.8997  6 Cd 3.07-3.36, 1 Y 3.22
Y 0.3333 0.6667 0.5664  6 Cd 3.07-3.36, 1 Y 3.22
Y 0.3333 0.6667 0.7669  6 Cd 3.07-3.36, 1 Y 3.22
Y 0.6667 0.3333 0.2331  6 Cd 3.07-3.36, 1 Y 3.22
Y 0.6667 0.3333 0.4336  6 Cd 3.07-3.36, 1 Y 3.22
Cd 0.0000 0.0000 0.3153  3 Cd 2.83, 3 Y 3.07
Cd 0.0000 0.0000 0.6847  3 Cd 2.83, 3 Y 3.07
Cd 0.3333 0.6667 0.3514  3 Cd 2.83, 3 Y 3.07
Cd 0.3333 0.6667 0.9820  3 Cd 2.83, 3 Y 3.07
Cd 0.6667 0.3333 0.0180  3 Cd 2.83, 3 Y 3.07
Cd 0.6667 0.3333 0.6486  3 Cd 2.83, 3 Y 3.07

Summary:
**V**: 320.9 Å³ per cell
**Density of states at the Fermi level**: 0.71 states/eV per atom
**Formation enthalpy at 0 K**: -0.3 eV/f.u.
**Calculated total energy**: -4.14 eV per atom
**Symmetry**: R-3m, No. 166